P:
24
Lattice="-4.743 1.359 -0.632 -2.525 -6.795 4.336 0.322 4.455 7.169" Properties=species:S:1:pos:R:3 comment="SrLi2Cu9 | the Alexandria database | PBE-GGA | optimized geometry" sg="P4/mbm (127)" n_ef_per_ev_atom=0.391 pbc="T T T"
Li -0.688 1.326 8.019
Cu -4.479 -2.169 9.378
Cu -3.634 -2.718 1.852
Li -1.515 -3.666 3.486
Cu -2.467 1.188 1.495
Cu -2.955 0.669 4.046
Cu -3.137 -3.816 5.710
Cu -4.337 -4.377 3.562
Cu -3.991 -1.650 6.828
Cu -4.331 -0.363 2.198
Sr -1.102 -1.170 5.753
Cu -1.399 2.144 5.484
Cu -3.809 2.835 5.163
Cu -5.026 0.073 8.355
Cu -2.609 3.396 7.312
Li -0.165 0.939 3.260
Sr 0.000 0.000 0.000
Cu -2.615 -0.618 8.676
Cu -1.920 -1.054 2.519
Cu -3.706 -1.883 4.190
Li -2.038 -3.279 8.245
Cu -5.547 -3.125 5.389
Cu -2.211 2.907 3.269
Cu -3.240 0.902 6.684

Q:
12
Lattice="5.077 0.000 0.000 2.539 4.397 0.000 2.539 1.466 8.095" Properties=species:S:1:pos:R:3 comment="SrLi2Cu9 | the Alexandria database | PBE-GGA | optimized geometry" sg="R-3m (166)" n_ef_per_ev_atom=0.369 pbc="T T T"
Cu 5.077 2.931 4.048
Cu 2.539 1.466 0.012
Cu 7.616 4.397 8.084
Cu 6.355 3.669 6.013
Cu 3.799 3.669 6.013
Cu 5.077 1.455 6.013
Li 2.539 1.466 4.475
Sr 0.000 0.000 0.000
Li 7.616 4.397 3.620
Cu 6.355 2.193 2.083
Cu 5.077 4.407 2.083
Cu 3.799 2.193 2.083

Quick ranking, most stable first: P, Q.

P:
4
Lattice="-0.609 4.366 -1.719 0.365 -0.924 -2.476 -4.851 -1.176 -1.267" Properties=species:S:1:pos:R:3 comment="LiTa2Cu | the Alexandria database | PBE-GGA | optimized geometry" sg="P2/m (10)" n_ef_per_ev_atom=0.852 pbc="T T T"
Li -3.669 0.608 -3.667
Ta -2.236 -1.057 -1.893
Cu -1.426 1.658 -1.795
Ta 0.358 -0.917 -2.455

Q:
4
Lattice="2.910 0.000 0.000 0.000 3.840 0.000 0.000 0.000 5.494" Properties=species:S:1:pos:R:3 comment="LiTa2Cu | the Alexandria database | PBE-GGA | optimized geometry" sg="Pmmm (47)" n_ef_per_ev_atom=0.838 pbc="T T T"
Cu 1.455 1.920 1.373
Ta 0.000 0.000 2.724
Li 1.455 1.920 4.120
Ta 0.000 0.000 0.023

R:
8
Lattice="-6.738 1.067 -2.145 2.087 -0.530 -6.820 -2.749 -2.268 -4.415" Properties=species:S:1:pos:R:3 comment="LiTa2Cu | the Alexandria database | PBE-GGA | optimized geometry" sg="I-42d (122)" n_ef_per_ev_atom=0.633 pbc="T T T"
Li -2.326 0.269 -4.482
Li -1.494 -1.265 -7.858
Ta -0.106 -0.784 -5.596
Ta -3.843 -1.491 -6.552
Ta -6.095 -1.241 -11.275
Cu 0.000 0.000 0.000
Ta -4.757 0.053 -3.334
Cu -5.906 -0.466 -5.521

S:
4
Lattice="4.867 0.007 0.000 1.713 4.556 0.000 -3.290 -2.281 2.768" Properties=species:S:1:pos:R:3 comment="LiTa2Cu | the Alexandria database | PBE-GGA | optimized geometry" sg="I4/mmm (139)" n_ef_per_ev_atom=1.081 pbc="T T T"
Ta 0.000 0.000 0.000
Li 2.434 0.003 1.384
Ta 3.290 2.281 0.000
Cu 0.856 2.278 1.384

Quick ranking, most stable first: P, S, Q, R.

P:
4
Lattice="2.683 0.007 0.000 -0.897 2.529 0.000 0.000 0.000 9.755" Properties=species:S:1:pos:R:3 comment="LiTa2Cu | the Alexandria database | PBE-GGA | optimized geometry" sg="Cmmm (65)" n_ef_per_ev_atom=0.776 pbc="T T T"
Li 0.893 1.268 7.316
Ta 0.000 0.000 0.163
Cu 0.893 1.268 2.439
Ta 0.000 0.000 4.714

Q:
4
Lattice="-1.366 -0.852 -2.909 0.230 -3.210 0.833 -5.265 0.245 2.401" Properties=species:S:1:pos:R:3 comment="LiTa2Cu | the Alexandria database | PBE-GGA | optimized geometry" sg="P4mm (99)" n_ef_per_ev_atom=0.876 pbc="T T T"
Ta -0.021 0.001 0.010
Cu -2.700 0.126 1.231
Ta -1.907 -1.969 -0.427
Li -4.407 -1.853 0.713

R:
4
Lattice="9.889 0.023 0.014 9.485 2.798 0.014 9.485 1.381 2.433" Properties=species:S:1:pos:R:3 comment="LiTa2Cu | the Alexandria database | PBE-GGA | optimized geometry" sg="R3m (160)" n_ef_per_ev_atom=0.773 pbc="T T T"
Ta 0.015 0.002 0.001
Ta 7.021 1.022 0.599
Li 21.853 3.182 1.863
Cu 14.399 2.097 1.228

Quick ranking, most stable first: R, Q, P.

P:
4
Lattice="2.725 0.000 0.000 0.000 2.725 0.000 0.000 0.000 8.944" Properties=species:S:1:pos:R:3 comment="LiTa2Cu | the Alexandria database | PBE-GGA | optimized geometry" sg="P4/mmm (123)" n_ef_per_ev_atom=0.722 pbc="T T T"
Ta 0.000 0.000 4.206
Ta 0.000 0.000 0.266
Cu 1.362 1.362 2.236
Li 1.362 1.362 6.708

Q:
4
Lattice="-2.031 -4.530 -1.882 -2.242 -3.274 3.526 0.020 4.724 -2.423" Properties=species:S:1:pos:R:3 comment="LiTa2Cu | the Alexandria database | PBE-GGA | optimized geometry" sg="Imm2 (44)" n_ef_per_ev_atom=0.607 pbc="T T T"
Ta -2.016 -1.748 -1.763
Li -2.289 -1.427 1.005
Cu -2.076 -3.791 0.799
Ta -0.009 -0.016 0.003

R:
4
Lattice="-1.719 2.534 0.747 -2.424 -1.158 -1.649 -2.029 -2.845 4.979" Properties=species:S:1:pos:R:3 comment="LiTa2Cu | the Alexandria database | PBE-GGA | optimized geometry" sg="P4/mmm (123)" n_ef_per_ev_atom=0.414 pbc="T T T"
Ta -2.026 -2.840 4.972
Ta -1.018 -1.427 2.497
Cu -2.579 -0.023 0.794
Li -3.593 -1.445 3.283

S:
4
Lattice="-3.054 4.122 0.415 -2.511 -4.642 -1.347 -1.200 -0.531 2.326" Properties=species:S:1:pos:R:3 comment="LiTa2Cu | the Alexandria database | PBE-GGA | optimized geometry" sg="C2/m (12)" n_ef_per_ev_atom=0.735 pbc="T T T"
Ta 0.000 0.000 0.000
Li -2.782 -0.260 -0.466
Cu -1.855 -2.586 0.489
Ta -2.127 1.795 1.371

Quick ranking, most stable first: Q, S, P, R.

P:
4
Lattice="-4.315 -2.075 -1.310 0.178 -4.956 -0.209 1.338 3.379 3.381" Properties=species:S:1:pos:R:3 comment="LiTa2Cu | the Alexandria database | PBE-GGA | optimized geometry" sg="I-4m2 (119)" n_ef_per_ev_atom=0.982 pbc="T T T"
Li -2.522 -1.106 0.656
Ta -0.276 -2.546 1.207
Cu -2.068 -3.516 -0.759
Ta 0.000 0.000 0.000

Q:
4
Lattice="-2.250 5.606 -7.983 -1.675 3.224 -9.328 -4.236 3.664 -8.297" Properties=species:S:1:pos:R:3 comment="LiTa2Cu | the Alexandria database | PBE-GGA | optimized geometry" sg="R-3m (166)" n_ef_per_ev_atom=0.570 pbc="T T T"
Li -6.121 9.371 -19.206
Ta -4.128 6.319 -12.952
Ta -8.115 12.423 -25.461
Cu -2.040 3.124 -6.402

R:
4
Lattice="0.000 3.117 3.117 3.117 0.000 3.117 3.117 3.117 0.000" Properties=species:S:1:pos:R:3 comment="LiTa2Cu | the Alexandria database | PBE-GGA | optimized geometry" sg="Fm-3m (225)" n_ef_per_ev_atom=0.428 pbc="T T T"
Ta 1.558 1.558 1.558
Li 0.000 0.000 0.000
Ta 4.675 4.675 4.675
Cu 3.117 3.117 3.117

Quick ranking, most stable first: Q, P, R.

P:
4
Lattice="2.785 0.045 0.000 -0.569 2.726 0.000 0.000 0.000 8.562" Properties=species:S:1:pos:R:3 comment="LiTa2Cu | the Alexandria database | PBE-GGA | optimized geometry" sg="Cmm2 (35)" n_ef_per_ev_atom=0.841 pbc="T T T"
Li 1.108 1.386 6.167
Ta 0.000 0.000 0.045
Ta 1.108 1.386 2.320
Cu 0.000 0.000 4.311

Q:
4
Lattice="-1.092 0.400 2.521 -1.843 -2.020 -0.478 5.361 -5.654 3.219" Properties=species:S:1:pos:R:3 comment="LiTa2Cu | the Alexandria database | PBE-GGA | optimized geometry" sg="P4mm (99)" n_ef_per_ev_atom=0.723 pbc="T T T"
Cu 2.708 -2.856 1.626
Li 2.381 -4.868 3.332
Ta 0.003 -2.361 1.905
Ta 0.015 -0.016 0.009

R:
4
Lattice="-4.197 0.137 -1.616 -2.752 -3.511 0.586 -3.489 0.323 2.823" Properties=species:S:1:pos:R:3 comment="LiTa2Cu | the Alexandria database | PBE-GGA | optimized geometry" sg="F-43m (216)" n_ef_per_ev_atom=1.293 pbc="T T T"
Cu -5.219 -1.526 0.896
Li -2.610 -0.763 0.448
Ta 0.000 0.000 0.000
Ta -7.829 -2.289 1.345

S:
4
Lattice="-1.575 -2.830 4.419 2.795 -4.378 1.744 0.091 5.350 -1.178" Properties=species:S:1:pos:R:3 comment="LiTa2Cu | the Alexandria database | PBE-GGA | optimized geometry" sg="Immm (71)" n_ef_per_ev_atom=0.599 pbc="T T T"
Ta 1.204 -7.118 6.086
Li 1.748 -1.316 1.824
Cu -0.437 -0.542 3.161
Ta 0.625 -3.695 3.159

Quick ranking, most stable first: P, Q, S, R.

P:
4
Lattice="-3.415 3.283 -1.214 0.140 -3.702 -3.192 -1.862 -1.376 1.515" Properties=species:S:1:pos:R:3 comment="LiTa2Cu | the Alexandria database | PBE-GGA | optimized geometry" sg="Cmmm (65)" n_ef_per_ev_atom=0.930 pbc="T T T"
Ta -1.638 -0.210 -2.203
Cu -2.638 0.953 0.150
Li -0.861 -2.539 -0.838
Ta 0.000 0.000 0.000

Q:
4
Lattice="3.072 0.000 0.000 0.000 4.397 0.000 0.000 0.000 4.738" Properties=species:S:1:pos:R:3 comment="LiTa2Cu | the Alexandria database | PBE-GGA | optimized geometry" sg="Pmmm (47)" n_ef_per_ev_atom=0.846 pbc="T T T"
Cu 1.536 0.000 2.369
Ta 1.536 2.198 0.000
Ta 0.000 0.000 0.000
Li 0.000 2.198 2.369

R:
4
Lattice="-0.099 2.281 3.239 -2.888 -2.221 1.476 2.665 -2.323 1.718" Properties=species:S:1:pos:R:3 comment="LiTa2Cu | the Alexandria database | PBE-GGA | optimized geometry" sg="P4/mmm (123)" n_ef_per_ev_atom=0.955 pbc="T T T"
Li 1.283 -0.021 2.478
Ta 0.000 0.000 0.000
Cu -1.493 0.030 2.357
Ta -0.111 -2.272 1.597

Quick ranking, most stable first: Q, R, P.

P:
3
Lattice="-1.321 2.197 -1.078 -0.501 -0.774 2.624 5.250 4.265 2.261" Properties=species:S:1:pos:R:3 comment="LiTaCu | the Alexandria database | PBE-GGA | optimized geometry" sg="P3m1 (156)" n_ef_per_ev_atom=0.662 pbc="T T T"
Cu 0.009 0.007 0.004
Ta 2.818 3.134 2.936
Li 0.603 2.547 0.867

Q:
3
Lattice="-3.046 -2.750 -0.292 -0.705 -1.917 -3.571 0.872 -4.001 -0.394" Properties=species:S:1:pos:R:3 comment="LiTaCu | the Alexandria database | PBE-GGA | optimized geometry" sg="F-43m (216)" n_ef_per_ev_atom=1.405 pbc="T T T"
Ta -1.440 -4.334 -2.129
Cu -2.159 -6.501 -3.193
Li 0.000 0.000 0.000

Quick ranking, most stable first: P, Q.

P:
3
Lattice="-0.607 3.292 -2.772 -2.115 -3.752 -0.585 -1.978 0.884 1.483" Properties=species:S:1:pos:R:3 comment="LiTaCu | the Alexandria database | PBE-GGA | optimized geometry" sg="P-6m2 (187)" n_ef_per_ev_atom=0.634 pbc="T T T"
Li -1.943 -1.257 -1.067
Cu -0.330 0.147 0.247
Ta -2.428 1.533 -1.055

Q:
3
Lattice="-2.968 3.444 -1.241 -1.301 0.188 -4.526 0.053 -2.436 4.034" Properties=species:S:1:pos:R:3 comment="LiTaCu | the Alexandria database | PBE-GGA | optimized geometry" sg="Imm2 (44)" n_ef_per_ev_atom=0.420 pbc="T T T"
Li -1.440 1.225 -1.946
Ta -2.826 2.404 -3.817
Cu -0.003 0.003 -0.004

Quick ranking, most stable first: P, Q.

P:
3
Lattice="7.295 0.025 -0.019 6.664 2.598 0.013 0.631 -0.676 2.483" Properties=species:S:1:pos:R:3 comment="LiTaCu | the Alexandria database | PBE-GGA | optimized geometry" sg="Fmm2 (42)" n_ef_per_ev_atom=0.543 pbc="T T T"
Li 5.221 0.461 1.625
Ta 9.393 1.494 0.846
Cu 13.935 2.618 -0.002

Q:
3
Lattice="4.170 0.000 0.000 2.085 3.612 0.000 2.085 1.204 3.405" Properties=species:S:1:pos:R:3 comment="LiTaCu | the Alexandria database | PBE-GGA | optimized geometry" sg="F-43m (216)" n_ef_per_ev_atom=0.601 pbc="T T T"
Cu 0.000 0.000 0.000
Ta 6.255 3.612 2.554
Li 4.170 2.408 1.703

Quick ranking, most stable first: P, Q.